Density functional theory data (SCAN) for TaNb3H at its PBEsol-relaxed geometry.

Fermi-level density of states, states/eV/f.u.: 5.1
ρ, g/cm3: 10.268

Cell and atoms, written as POSCAR:
```
TaNb3H
1.0
-2.679 -3.244 -0.055
3.057 -2.500 -1.454
1.088 -0.965 3.948
H Nb Ta
1 3 1
Cartesian
0.000 0.000 0.000
1.528 -1.250 -0.727
0.544 -0.483 1.974
-1.340 -1.622 -0.027
0.733 -3.355 1.220
```

Density functional theory data (SCAN) for TiBiSb2I at its PBEsol-relaxed geometry.

Fermi-level density of states, states/eV/f.u.: 3.7
Formation energy (no corrections), eV/f.u.: 1.3
ρ, g/cm3: 7.060

Cell and atoms, written as POSCAR:
```
TiBiSb2I
1.0
-2.793 -1.609 -3.955
-0.396 -4.864 2.258
-4.483 1.543 2.538
I Sb Bi Ti
1 2 1 1
Cartesian
-1.397 -0.804 -1.978
-2.241 0.772 1.269
-0.198 -2.432 1.129
-3.836 -2.465 0.420
0.000 0.000 0.000
```

| no. | total energy (eV per cell) | total magnetization (Bohr magnetons per cell) |
| --- | --- | --- |
| 1 | -168.64 | 0.0 |
| 2 | -204.53 | 0.0 |